[1]
First-principles (PBE) data for a relaxed Ba4W crystal, as listed in the Alexandria database.

```
Ba4W
1.0
-5.461 5.461 2.007
5.461 -5.461 2.007
5.461 5.461 -2.007
Ba W
4 1
direct
0.063 0.753 0.816
0.247 0.063 0.310
0.753 0.937 0.690
0.937 0.247 0.184
0.500 0.500 0.000
```

Calculated values
Energy relative to the elements: 3.9 eV/f.u.
Total magnetization: 2.143 Bohr magnetons per cell
Energy relative to the lowest polymorph listed for this composition: 0 kJ/mol of formula units
Energy: -16.78 eV/f.u.

---

[2]
First-principles (PBE) data for a relaxed InTcTe2 crystal, as listed in the Alexandria database.

```
InTcTe2
1.0
3.153 -3.994 0.000
3.153 3.994 0.000
0.000 0.000 3.571
In Tc Te
1 1 2
direct
0.000 0.000 0.000
0.500 0.500 0.000
0.000 0.500 0.500
0.500 0.000 0.500
```

Calculated values
Energy relative to the elements, uncorrected: 54.3 kJ/mol of atoms
Total magnetization: 0.000 Bohr magnetons per cell
Energy: -17.14 eV/f.u.